# As3Pb5ClO12

A relaxed As3Pb5ClO12 crystal (PBE, Alexandria via LeMat-Bulk).

POSCAR file:
```
As3Pb5ClO12
1.0
10.5511 0.0000 0.0000
-5.2755 9.1375 0.0000
0.0000 0.0000 7.4319
As Pb Cl O
6 10 2 24
Cartesian
-1.8750 3.7611 1.8580
-1.0808 8.8808 1.8580
2.3197 3.5044 5.5739
2.9559 5.6331 1.8580
6.3564 0.2567 5.5739
7.1506 5.3764 5.5739
-3.7746 6.9865 1.8580
1.1123 2.3753 1.8580
2.6133 0.2244 5.5739
0.0000 6.0917 3.7615
0.0000 6.0917 7.3864
5.2755 3.0458 0.0455
5.2755 3.0458 3.6704
2.6623 8.9131 1.8580
4.1632 6.7621 5.5739
9.0501 2.1510 5.5739
0.0000 0.0000 0.0000
0.0000 0.0000 3.7160
-0.9320 3.2801 0.4910
-0.9320 3.2801 3.2250
-1.8739 5.5063 1.8580
-1.8046 6.0058 5.5739
-1.9688 8.3046 0.4910
-1.9688 8.3046 3.2250
0.9766 4.5717 5.5739
2.3747 2.4472 4.2070
2.3747 2.4472 6.9409
1.4439 4.7615 1.8580
0.4300 8.0071 1.8580
4.4475 1.4401 1.8580
0.8280 7.6974 5.5739
4.8455 1.1303 5.5739
3.8317 4.3760 5.5739
2.9009 6.6902 0.4910
2.9009 6.6902 3.2250
4.2989 4.5658 1.8580
7.2444 0.8329 4.2070
7.2444 0.8329 6.9409
7.0802 3.1316 1.8580
7.1494 3.6312 5.5739
6.2076 5.8573 4.2070
6.2076 5.8573 6.9409
```

Summary:
- energy relative to the elements, uncorrected (eV per atom) = -1.33